ScBi2MoI: optimized geometry, PBEsol.

Unit cell a=5.5379 b=5.5379 c=4.9997 alpha=90.00 beta=90.00 gamma=90.00
With the nearest neighbours (Å) after each atom.
Element x y z (fractional)
Sc  0.0000  0.0000  0.0000  2 Mo 2.50, 4 Bi 2.77
Bi  0.0000  0.5000  0.0000  2 Sc 2.77
Bi  0.5000  0.0000  0.0000  2 Sc 2.77
Mo  0.0000  0.0000  0.5000  2 Sc 2.50
I  0.5000  0.5000  0.5000  8 Bi 3.73, 4 Mo 3.92

Formation energy without anion corrections = 992 meV/atom
N(E_F) = 4.1 states/eV per cell
Energy = -4.750 eV per atom
M_tot = 2.62 μB per cell
Theoretical density = 7.426 Mg/m³

---

CaBeRe2: optimized geometry, PBEsol.

Unit cell a=3.1048 b=4.3221 c=4.6054 alpha=90.00 beta=90.00 gamma=90.00
With the nearest neighbours (Å) after each atom.
Element x y z (fractional)
Ca  0.0000  0.0000  0.0000  4 Be 2.66, 4 Re 2.78
Be  0.5000  0.5000  0.0000  4 Ca 2.66, 4 Re 2.78
Re  0.0000  0.5000  0.5000  4 Re 2.66, 4 Be 2.78
Re  0.5000  0.0000  0.5000  4 Re 2.66, 4 Ca 2.78

N(E_F) = 2.0 states/eV per cell
Energy = -7.518 eV per atom
M_tot = 0.00 μB per cell
Theoretical density = 11.325 Mg/m³
E_form = 2.73 eV per formula unit

---

Pm2CuSn: optimized geometry, PBEsol.

Unit cell a=5.1864 b=5.1864 c=5.1864 alpha=60.00 beta=60.00 gamma=60.00
With the nearest neighbours (Å) after each atom.
Element x y z (fractional)
Pm  0.2500  0.2500  0.2500  4 Sn 3.18, 4 Cu 3.18
Pm  0.7500  0.7500  0.7500  4 Sn 3.18, 4 Cu 3.18
Cu  0.0000  0.0000  0.0000  8 Pm 3.18
Sn  0.5000  0.5000  0.5000  8 Pm 3.18

N(E_F) = 4.3 states/eV per cell
Energy = -5.141 eV per atom
M_tot = 0.00 μB per cell
Theoretical density = 7.949 Mg/m³
E_form = -1.70 eV per formula unit

---

CrMoP2: optimized geometry, PBEsol.

Unit cell a=4.3700 b=4.3700 c=4.2072 alpha=104.99 beta=104.99 gamma=40.19
With the nearest neighbours (Å) after each atom.
Element x y z (fractional)
Cr  0.0000  0.0000  0.0000  5 P 2.37-2.47
Mo  0.7720  0.7720  0.3840  7 P 2.40-2.60
P  0.2668  0.2668  0.8773  3 Cr 2.37-2.38, 4 Mo 2.57-2.60, 2 P 2.64
P  0.5128  0.5128  0.5422  3 Mo 2.40-2.42, 2 Cr 2.47, 2 P 2.64

N(E_F) = 2.0 states/eV per cell
Excess energy over the best structure of this formula in the dataset = 3.579 kcal/mol of atoms
Energy = -8.847 eV per atom
M_tot = 0.00 μB per cell
Theoretical density = 6.992 Mg/m³
E_form = -1.80 eV per formula unit

---

What is the energy in the second record? -7.518 eV per atom

---

What did the fourth record say?
CrMoP2: optimized geometry, PBEsol.

Unit cell a=4.3700 b=4.3700 c=4.2072 alpha=104.99 beta=104.99 gamma=40.19
With the nearest neighbours (Å) after each atom.
Element x y z (fractional)
Cr  0.0000  0.0000  0.0000  5 P 2.37-2.47
Mo  0.7720  0.7720  0.3840  7 P 2.40-2.60
P  0.2668  0.2668  0.8773  3 Cr 2.37-2.38, 4 Mo 2.57-2.60, 2 P 2.64
P  0.5128  0.5128  0.5422  3 Mo 2.40-2.42, 2 Cr 2.47, 2 P 2.64

N(E_F) = 2.0 states/eV per cell
Excess energy over the best structure of this formula in the dataset = 3.579 kcal/mol of atoms
Energy = -8.847 eV per atom
M_tot = 0.00 μB per cell
Theoretical density = 6.992 Mg/m³
E_form = -1.80 eV per formula unit

---

The highest M_tot belongs to which entry? ScBi2MoI

---

Which of these has the lowest energy? CrMoP2